No. 1
The following is a GGA-PBE calculation of an optimized crystal structure of K2ErNpTe4, from Alexandria via LeMat-Bulk.

Cell lengths 7.834, 4.513, 8.640 Å; angles 90.00, 107.57, 90.00 degrees
Sites, in units of the cell vectors:
K 0.000 0.000 0.000
K 0.500 0.500 0.000
Er 0.000 0.500 0.500
Np 0.500 0.000 0.500
Te 0.230 0.000 0.708
Te 0.258 0.500 0.290
Te 0.742 0.500 0.710
Te 0.770 0.000 0.292


No. 2
The following is a GGA-PBE calculation of an optimized crystal structure of MnInFe2, from Alexandria via LeMat-Bulk.

Cell lengths 2.723, 2.723, 7.332 Å; angles 90.00, 90.00, 90.00 degrees
Sites, in units of the cell vectors:
Mn 0.000 0.000 0.000
In 0.000 0.000 0.500
Fe 0.500 0.500 0.216
Fe 0.500 0.500 0.784

Output
* formation energy from the elements: 0.30 eV/atom


No. 3
The following is a GGA-PBE calculation of an optimized crystal structure of LaZrIr2, from Alexandria via LeMat-Bulk.

Cell lengths 3.272, 3.443, 7.288 Å; angles 90.00, 90.00, 90.00 degrees
Sites, in units of the cell vectors:
La 0.000 0.000 0.000
Zr 0.000 0.000 0.500
Ir 0.500 0.500 0.290
Ir 0.500 0.500 0.710

Output
* formation energy from the elements: -0.70 eV/atom


No. 4
The following is a GGA-PBE calculation of an optimized crystal structure of TbScSn, from Alexandria via LeMat-Bulk.

Cell lengths 8.670, 8.670, 8.670 Å; angles 33.41, 33.41, 33.41 degrees
Sites, in units of the cell vectors:
Tb 0.125 0.125 0.125
Tb 0.875 0.875 0.875
Sc 0.375 0.375 0.375
Sc 0.625 0.625 0.625
Sn 0.255 0.255 0.255
Sn 0.745 0.745 0.745

Output
* formation energy from the elements: -0.37 eV/atom


No. 5
The following is a GGA-PBE calculation of an optimized crystal structure of AcLaSmTm, from Alexandria via LeMat-Bulk.

Cell lengths 3.747, 3.747, 11.984 Å; angles 90.00, 90.00, 120.00 degrees
Sites, in units of the cell vectors:
Ac 0.000 0.000 0.000
La 0.667 0.333 0.509
Sm 0.333 0.667 0.259
Tm 0.333 0.667 0.749

Output
* formation energy from the elements: 0.07 eV/atom


No. 6
The following is a GGA-PBE calculation of an optimized crystal structure of InAuSeN2, from Alexandria via LeMat-Bulk.

Cell lengths 4.208, 4.208, 5.871 Å; angles 90.00, 90.00, 90.00 degrees
Sites, in units of the cell vectors:
In 0.000 0.000 0.000
Au 0.500 0.500 0.500
Se 0.000 0.000 0.500
N 0.000 0.500 0.000
N 0.500 0.000 0.000


No. 7
The following is a GGA-PBE calculation of an optimized crystal structure of Ac2AlAg3Sn4, from Alexandria via LeMat-Bulk.

Cell lengths 4.715, 4.715, 11.709 Å; angles 90.00, 90.00, 90.00 degrees
Sites, in units of the cell vectors:
Ac 0.000 0.500 0.247
Ac 0.500 0.000 0.753
Al 0.500 0.500 0.000
Ag 0.000 0.000 0.000
Ag 0.000 0.500 0.638
Ag 0.500 0.000 0.362
Sn 0.000 0.000 0.500
Sn 0.000 0.500 0.868
Sn 0.500 0.000 0.132
Sn 0.500 0.500 0.500

Output
* formation energy from the elements: -0.40 eV/atom


No. 8
The following is a GGA-PBE calculation of an optimized crystal structure of Ga2AgOs, from Alexandria via LeMat-Bulk.

Cell lengths 4.435, 4.435, 4.435 Å; angles 60.00, 60.00, 60.00 degrees
Sites, in units of the cell vectors:
Ga 0.250 0.250 0.250
Ga 0.750 0.750 0.750
Ag 0.000 0.000 0.000
Os 0.500 0.500 0.500

Output
* formation energy from the elements: 0.18 eV/atom


Theoretical density (Mg/m³)
5.66; 8.60; 12.43; 6.09; 7.81; 6.69; 8.16; 11.78
E_tot (eV/atom)
-5.160; -6.906; -8.495; -5.353; -4.486; -3.741; -4.056; -4.850